Record 1
6
Lattice="0.000 4.537 4.537 4.537 0.000 4.537 4.537 4.537 0.000" Properties=species:S:1:pos:R:3 comment="CrSbPb4 (PBE, relaxed)" m_tot_mub_per_fu=4.4 total_energy_ev_per_atom=-4.1891 sg="F-43m, No. 216" crystal_system=cubic pbc="T T T"
Cr 0.000 0.000 0.000
Sb 2.269 2.269 2.269
Pb 5.675 3.400 3.400
Pb 3.400 5.675 3.400
Pb 3.400 3.400 5.675
Pb 5.675 5.675 5.675

---

Record 2
5
Lattice="4.960 0.000 0.000 0.000 4.960 0.000 0.000 0.000 4.995" Properties=species:S:1:pos:R:3 comment="CaTb2PbC (PBE, relaxed)" m_tot_mub_per_fu=0.0 delta_e_f_ev_per_atom=-0.449 sg="P4/mmm, No. 123" crystal_system=tetragonal pbc="T T T"
Ca 0.000 0.000 0.000
Tb 0.000 2.480 2.497
Tb 2.480 0.000 2.497
Pb 2.480 2.480 0.000
C 0.000 0.000 2.497

---

Record 3
14
Lattice="3.068 1.771 14.177 -3.068 1.771 14.177 0.000 -3.543 14.177" Properties=species:S:1:pos:R:3 comment="Tb3SmTm3 (PBE, relaxed)" de_polymorph_mev_per_atom=139.1 m_tot_mub_per_fu=0.0 delta_e_f_ev_per_atom=0.148 sg="R-3, No. 148" crystal_system=trigonal pbc="T T T"
Tb -1.016 -1.781 19.812
Tb -2.050 -0.010 22.720
Tb -1.034 1.770 19.812
Tb 1.034 -1.770 22.720
Tb 2.050 0.010 19.812
Tb 1.016 1.781 22.720
Sm 0.000 0.000 14.177
Sm 0.000 0.000 28.354
Tm -2.044 -0.004 17.020
Tm -1.019 -1.772 25.511
Tm 1.025 -1.768 17.020
Tm -1.025 1.768 25.511
Tm 1.019 1.772 17.020
Tm 2.044 0.004 25.511

---

Record 4
5
Lattice="5.292 0.000 0.000 0.000 5.292 0.000 0.000 0.000 5.292" Properties=species:S:1:pos:R:3 comment="SrSc3Nb (PBE, relaxed)" m_tot_mub_per_fu=0.0 delta_e_f_ev_per_atom=0.406 sg="Pm-3m, No. 221" crystal_system=cubic pbc="T T T"
Sr 0.000 0.000 0.000
Sc 0.000 2.646 2.646
Sc 2.646 0.000 2.646
Sc 2.646 2.646 0.000
Nb 2.646 2.646 2.646

---

Record 5
19
Lattice="4.711 2.720 4.615 -4.711 2.720 4.615 0.000 -5.440 4.615" Properties=species:S:1:pos:R:3 comment="Ce2Mg2Al15 (PBE, relaxed)" m_tot_mub_per_fu=0.9 delta_e_f_ev_per_atom=-0.156 sg="R-3m, No. 166" crystal_system=trigonal pbc="T T T"
Ce 0.000 0.000 2.125
Ce 0.000 0.000 11.720
Mg 0.000 0.000 5.499
Mg 0.000 0.000 8.346
Al -2.355 -1.360 4.615
Al 0.000 -2.779 4.400
Al -2.407 1.390 4.400
Al -1.400 -2.425 6.923
Al -2.800 0.000 6.923
Al -2.407 -1.390 9.446
Al -2.355 1.360 9.230
Al 1.400 -2.425 6.923
Al 0.000 2.720 4.615
Al -1.400 2.425 6.923
Al 2.407 1.390 4.400
Al 2.800 0.000 6.923
Al 1.400 2.425 6.923
Al 2.407 -1.390 9.446
Al 0.000 2.779 9.446

---

Record 6
4
Lattice="1.694 0.978 8.436 -1.694 0.978 8.436 0.000 -1.957 8.436" Properties=species:S:1:pos:R:3 comment="TaAsCl2 (PBE, relaxed)" de_polymorph_mev_per_atom=254.4 m_tot_mub_per_fu=0.0 sg="R3m, No. 160" crystal_system=trigonal pbc="T T T"
Ta 0.000 0.000 0.000
As 0.000 0.000 18.546
Cl 0.000 0.000 6.741
Cl 0.000 0.000 12.115

---

Record 7
12
Lattice="-2.674 3.813 8.036 2.674 -3.813 8.036 2.674 3.813 -8.036" Properties=species:S:1:pos:R:3 comment="LiNd5Cd6 (PBE, relaxed)" m_tot_mub_per_fu=0.9 delta_e_f_ev_per_atom=-0.292 sg="Immm, No. 71" crystal_system=orthorhombic pbc="T T T"
Li 0.000 0.000 0.000
Nd 2.674 0.000 2.783
Nd 0.000 0.000 5.386
Nd 0.000 3.813 0.000
Nd 0.000 0.000 10.686
Nd 0.000 3.813 5.253
Cd 2.674 -2.059 5.543
Cd 2.674 1.705 0.000
Cd 0.000 1.754 2.493
Cd 2.674 2.059 5.543
Cd 0.000 2.108 8.036
Cd 0.000 5.872 2.493

---

Record 8
4
Lattice="2.956 0.000 0.000 0.000 3.701 0.000 -1.393 0.000 5.911" Properties=species:S:1:pos:R:3 comment="CaBe2Si (PBE, relaxed)" m_tot_mub_per_fu=0.0 total_energy_ev_per_atom=-3.5508 sg="Pm, No. 6" crystal_system=monoclinic pbc="T T T"
Ca 0.000 0.000 0.000
Be 0.028 1.850 3.602
Be 1.449 0.000 3.036
Si 1.482 1.850 1.792

---

Record 9
12
Lattice="5.467 0.000 0.000 -2.734 4.735 0.000 0.000 0.000 9.013" Properties=species:S:1:pos:R:3 comment="PrPu3Pt8 (PBE, relaxed)" m_tot_mub_per_fu=5.3 delta_e_f_ev_per_atom=-0.826 sg="P3m1, No. 156" crystal_system=trigonal pbc="T T T"
Pr 0.000 0.000 0.000
Pu 0.000 0.000 3.415
Pu 2.734 1.578 4.377
Pu 2.734 1.578 7.745
Pt 0.000 1.563 6.132
Pt -1.380 3.953 6.132
Pt 0.000 3.156 3.886
Pt 0.000 3.156 8.385
Pt 2.734 0.020 1.647
Pt 1.384 2.357 1.647
Pt 1.380 3.953 6.132
Pt 4.083 2.357 1.647

---

Record 10
8
Lattice="0.000 3.352 5.758 3.341 0.000 5.758 3.341 3.352 0.000" Properties=species:S:1:pos:R:3 comment="NiGe (PBE, relaxed)" m_tot_mub_per_fu=0.0 delta_e_f_ev_per_atom=0.047 sg="Fddd, No. 70" crystal_system=orthorhombic pbc="T T T"
Ni 0.835 0.838 0.179
Ni 0.835 0.838 2.700
Ni 5.846 5.867 8.815
Ni 5.846 5.867 11.336
Ge 2.506 1.213 4.318
Ge 4.176 2.889 7.197
Ge 2.506 3.816 4.318
Ge 4.176 5.492 7.197